Model one:
Compound: NiB3F
Source: Alexandria via LeMat-Bulk
Functional: PBE with a Hubbard U
Structure: optimized geometry

extended XYZ file:
```
5
Lattice="-3.141 0.540 1.937 1.842 -0.671 3.173 0.808 3.629 0.298" Properties=species:S:1:pos:R:3 pbc="T T T"
Ni 0.000 0.000 0.000
B 0.921 -0.335 1.587
B 0.404 1.815 0.149
B -1.571 0.270 0.969
F -0.246 1.749 2.705
```

Computed properties:
The space group is No. 221. As for the density of states at the Fermi level: 0.00 states/eV/f.u. The spin magnetization is 0.00 μB/cell.

Model two:
Compound: NiB3F
Source: Alexandria via LeMat-Bulk
Functional: PBE with a Hubbard U
Structure: optimized geometry

extended XYZ file:
```
5
Lattice="3.646 0.000 0.000 0.000 3.646 0.000 0.000 0.000 3.646" Properties=species:S:1:pos:R:3 pbc="T T T"
Ni 1.823 1.823 1.823
B 0.000 1.823 0.000
B 0.000 0.000 1.823
B 1.823 0.000 0.000
F 0.000 0.000 0.000
```

Computed properties:
The space group is No. 221. As for the density of states at the Fermi level: 1.35 states/eV/f.u. The spin magnetization is 0.00 μB/cell.

Verdict on stability: model one comes out on top.

Model one:
Compound: Ni2BF
Source: Alexandria via LeMat-Bulk
Functional: PBE with a Hubbard U
Structure: optimized geometry

extended XYZ file:
```
4
Lattice="-2.731 -2.443 0.004 -3.070 0.687 1.878 -3.115 0.731 -1.786" Properties=species:S:1:pos:R:3 pbc="T T T"
Ni -2.229 -0.256 0.024
Ni -6.687 -0.769 0.072
B 0.000 0.000 0.000
F -4.458 -0.512 0.048
```

Computed properties:
The space group is No. 225. As for the density of states at the Fermi level: 0.11 states/eV/f.u. The spin magnetization is 0.00 μB/cell.

Model two:
Compound: Ni2BF
Source: Alexandria via LeMat-Bulk
Functional: PBE with a Hubbard U
Structure: optimized geometry

extended XYZ file:
```
8
Lattice="5.167 0.000 0.000 0.000 5.167 0.000 2.584 2.584 3.146" Properties=species:S:1:pos:R:3 pbc="T T T"
Ni 3.668 1.292 0.786
Ni 1.499 3.875 0.786
Ni 3.875 4.083 2.359
Ni 6.459 6.251 2.359
B 2.584 2.584 0.000
B 2.584 5.167 1.573
F 0.000 0.000 0.000
F 5.167 2.584 1.573
```

Computed properties:
The space group is No. 122. As for the density of states at the Fermi level: 0.08 states/eV/f.u. The spin magnetization is 0.00 μB/cell.

Verdict on stability: model two comes out on top.